This record from Alexandria describes ScU3S4 after structural relaxation. The functional is PBE.

Lattice parameters (Å, degrees): 6.792 7.618 6.487 90.00 109.57 90.00
Space group P2/c (No. 13)
Asymmetric unit:
Sc: 0.000 0.125 0.250 x2
U: 0.000 0.378 0.750 x2
U: 0.500 0.122 0.750 x2
U: 0.500 0.380 0.250 x2
S: 0.237 0.121 0.998 x4
S: 0.243 0.365 0.494 x4

Calculated values
* E_form (uncorrected): -1458 meV per atom